Entry 1:
PBE GaNiGe2, optimized geometry; calculated total energy = -4.510 eV/atom; symmetry = No. 166; DFT formation energy = 0.00 eV/f.u.
1.0
2.874 0.000 0.000
-1.437 2.489 0.000
0.000 0.000 27.584
Ga Ni Ge
3 3 6
Cartesian
0.000 0.000 0.000 Ga
0.000 1.659 18.390 Ga
1.437 0.830 9.195 Ga
0.000 0.000 13.792 Ni
0.000 1.659 4.597 Ni
1.437 0.830 22.987 Ni
0.000 0.000 2.727 Ge
0.000 0.000 24.857 Ge
0.000 1.659 15.662 Ge
0.000 1.659 21.117 Ge
1.437 0.830 6.467 Ge
1.437 0.830 11.922 Ge

Entry 2:
PBE NpGaNi2Ge2, optimized geometry; calculated total energy = -6.079 eV/atom; symmetry = No. 123; DFT formation energy = 0.29 eV/f.u.
1.0
4.342 0.000 0.000
0.000 4.342 0.000
0.000 0.000 5.596
Np Ga Ni Ge
1 1 2 2
Cartesian
0.000 0.000 0.000 Np
0.000 0.000 2.798 Ga
0.000 2.171 2.798 Ni
2.171 0.000 2.798 Ni
2.171 2.171 1.320 Ge
2.171 2.171 4.276 Ge

Entry 3:
PBE NpGa2Ni4Ge, optimized geometry; calculated total energy = -6.047 eV/atom; symmetry = No. 166; DFT formation energy = -1.64 eV/f.u.
1.0
2.033 1.174 8.204
-2.033 1.174 8.204
0.000 -2.348 8.204
Np Ga Ni Ge
1 2 4 1
Cartesian
0.000 0.000 0.000 Np
0.000 0.000 6.072 Ga
0.000 0.000 18.542 Ga
0.000 0.000 3.309 Ni
0.000 0.000 9.914 Ni
0.000 0.000 14.699 Ni
0.000 0.000 21.304 Ni
0.000 0.000 12.307 Ge

Entry 4:
PBE Np2Ga4NiGe2, optimized geometry; calculated total energy = -6.133 eV/atom; symmetry = No. 139; DFT formation energy = -2.19 eV/f.u.
1.0
-3.044 3.044 4.426
3.044 -3.044 4.426
3.044 3.044 -4.426
Np Ga Ni Ge
2 4 1 2
Cartesian
3.044 0.000 2.213 Np
0.000 3.044 2.213 Np
1.354 1.354 0.000 Ga
1.691 -1.691 4.426 Ga
-1.691 1.691 4.426 Ga
1.691 1.691 4.426 Ga
0.000 0.000 4.426 Ni
0.000 0.000 2.024 Ge
0.000 0.000 6.828 Ge

Entry 5:
PBE Np2GaNi4Ge3, optimized geometry; calculated total energy = -6.949 eV/atom; symmetry = No. 115; DFT formation energy = -3.60 eV/f.u.
1.0
4.071 0.000 0.000
0.000 4.071 0.000
0.000 0.000 9.765
Np Ga Ni Ge
2 1 4 3
Cartesian
0.000 2.035 2.408 Np
2.035 0.000 7.357 Np
0.000 0.000 4.883 Ga
0.000 0.000 0.000 Ni
0.000 2.035 6.171 Ni
2.035 0.000 3.595 Ni
2.035 2.035 0.000 Ni
0.000 2.035 8.502 Ge
2.035 0.000 1.263 Ge
2.035 2.035 4.883 Ge